(1)
Computed, not measured: crystalline CeTmTi at its relaxed geometry at the PBE level of DFT.

Results
Its density of states at the Fermi level is 1.77 states/eV per atom.

a = 3.2696 Å, b = 3.2696 Å, c = 7.9400 Å
α = 90.00°, β = 90.00°, γ = 120.00°
Space group P3m1 (No. 156)
Unique sites:
Ce  0.0000  0.0000  0.0000 x1
Tm  0.6667  0.3333  0.3726 x1
Ti  0.3333  0.6667  0.6896 x1

(2)
Computed, not measured: crystalline MgP2IrO at its relaxed geometry at the PBE level of DFT.

Results
For the uncorrected formation energy, the calculation gives -0.113 eV/atom. The value obtained for the offset from the most stable computed form is 0.000 eV/atom. Its density of states at the Fermi level is 0.43 states/eV per atom.

a = 4.2084 Å, b = 4.2084 Å, c = 3.7733 Å
α = 90.00°, β = 90.00°, γ = 90.00°
Space group P4/mmm (No. 123)
Unique sites:
Mg  0.0000  0.0000  0.0000 x1
P  0.0000  0.5000  0.5000 x2
Ir  0.5000  0.5000  0.0000 x1
O  0.0000  0.0000  0.5000 x1

(3)
Computed, not measured: crystalline Cs2AcZn2S4 at its relaxed geometry at the PBE level of DFT.

Results
For the uncorrected formation energy, the calculation gives -1.170 eV/atom. Its density of states at the Fermi level is 0.27 states/eV per atom.

a = 15.8039 Å, b = 4.4763 Å, c = 8.2361 Å
α = 90.00°, β = 109.88°, γ = 90.00°
Space group C2/m (No. 12)
Unique sites:
Cs  0.1359  0.0000  0.0648 x4
Ac  0.0000  0.0000  0.5000 x2
Zn  0.1780  0.5000  0.4978 x4
S  0.0296  0.5000  0.2795 x4
S  0.2031  0.0000  0.6410 x4

Number 1: final energy -5.886 eV per atom. Number 2: final energy -5.360 eV per atom. Number 3: final energy -3.934 eV per atom.